CsFePO2 | PBE with a Hubbard U | relaxed

Cell lengths 4.1445, 4.1445, 4.8828 Å; angles 90.00, 90.00, 90.00 degrees
Last column: nearest neighbours and their distance in Å.
Element x y z (fractional)
Cs1 0.0000 0.0000 0.0000  4 P 2.93, 8 O 3.20
Fe1 0.5000 0.5000 0.5000  4 O 2.07
P1 0.5000 0.5000 0.0000  2 Fe 2.44
O1 0.0000 0.5000 0.5000  2 Fe 2.07
O2 0.5000 0.0000 0.5000  2 Fe 2.07

Calculated values
- Energy relative to the lowest polymorph listed for this composition: 0 meV per atom
- SG: P4/mmm
- Magnetic moment: 4.53 μB per formula unit
- ρ: 5.0 Mg/m³
- E: -4.47 eV per atom